(1)
# YTe2Pb

YTe2Pb after structural relaxation (PBEsol, Alexandria).

## Properties
Its total energy is -4.892 eV per atom. The value obtained for the calculated volume is 393.6 Å³ per cell.

```
data_YTe2Pb
_symmetry_space_group_name_H-M 'P 1'
_symmetry_Int_Tables_number 1
_cell_length_a 4.159
_cell_length_b 4.159
_cell_length_c 26.272
_cell_angle_alpha 90.00
_cell_angle_beta 90.00
_cell_angle_gamma 120.00
loop_
_symmetry_equiv_pos_as_xyz
'x,y,z'
loop_
_atom_site_label
_atom_site_fract_x
_atom_site_fract_y
_atom_site_fract_z
Y1 0.000 0.000 0.000
Y2 0.333 0.667 0.667
Y3 0.667 0.333 0.333
Te1 0.000 0.000 0.270
Te2 0.000 0.000 0.495
Te3 0.333 0.667 0.161
Te4 0.333 0.667 0.936
Te5 0.667 0.333 0.603
Te6 0.667 0.333 0.828
Pb1 0.000 0.000 0.759
Pb2 0.333 0.667 0.426
Pb3 0.667 0.333 0.092
```

---

(2)
# Mg2SbOs

Mg2SbOs after structural relaxation (PBEsol, Alexandria).

## Properties
Its total energy is -4.821 eV per atom. The value obtained for the calculated volume is 142.5 Å³ per cell.

```
data_Mg2SbOs
_symmetry_space_group_name_H-M 'P 1'
_symmetry_Int_Tables_number 1
_cell_length_a 5.706
_cell_length_b 8.425
_cell_length_c 2.964
_cell_angle_alpha 90.00
_cell_angle_beta 90.00
_cell_angle_gamma 90.00
loop_
_symmetry_equiv_pos_as_xyz
'x,y,z'
loop_
_atom_site_label
_atom_site_fract_x
_atom_site_fract_y
_atom_site_fract_z
Mg1 0.250 0.250 0.000
Mg2 0.250 0.750 0.000
Mg3 0.750 0.250 0.000
Mg4 0.750 0.750 0.000
Sb1 0.000 0.000 0.500
Sb2 0.500 0.500 0.500
Os1 0.000 0.500 0.500
Os2 0.500 0.000 0.500
```

---

(3)
# ScIr3

ScIr3 after structural relaxation (PBEsol, Alexandria).

## Properties
Its total energy is -9.537 eV per atom. The value obtained for the calculated volume is 118.2 Å³ per cell. As for the formation energy from the elements: -2.07 eV/f.u.

```
data_ScIr3
_symmetry_space_group_name_H-M 'P 1'
_symmetry_Int_Tables_number 1
_cell_length_a 5.555
_cell_length_b 7.592
_cell_length_c 2.804
_cell_angle_alpha 90.00
_cell_angle_beta 90.00
_cell_angle_gamma 90.00
loop_
_symmetry_equiv_pos_as_xyz
'x,y,z'
loop_
_atom_site_label
_atom_site_fract_x
_atom_site_fract_y
_atom_site_fract_z
Sc1 0.000 0.000 0.000
Sc2 0.500 0.500 0.000
Ir1 0.000 0.500 0.000
Ir2 0.250 0.250 0.500
Ir3 0.250 0.750 0.500
Ir4 0.500 0.000 0.000
Ir5 0.750 0.250 0.500
Ir6 0.750 0.750 0.500
```

---

(4)
# Cu2SiRh

Cu2SiRh after structural relaxation (PBEsol, Alexandria).

## Properties
Its total energy is -5.926 eV per atom. The value obtained for the calculated volume is 48.5 Å³ per cell.

```
data_Cu2SiRh
_symmetry_space_group_name_H-M 'P 1'
_symmetry_Int_Tables_number 1
_cell_length_a 2.998
_cell_length_b 2.998
_cell_length_c 5.391
_cell_angle_alpha 90.00
_cell_angle_beta 90.00
_cell_angle_gamma 90.00
loop_
_symmetry_equiv_pos_as_xyz
'x,y,z'
loop_
_atom_site_label
_atom_site_fract_x
_atom_site_fract_y
_atom_site_fract_z
Cu1 0.000 0.000 0.000
Cu2 0.500 0.500 0.217
Si1 0.000 0.000 0.475
Rh1 0.500 0.500 0.701
```

---

(5)
# Mg2TlPb

Mg2TlPb after structural relaxation (PBEsol, Alexandria).

## Properties
Its total energy is -2.559 eV per atom. The value obtained for the calculated volume is 199.8 Å³ per cell. As for the formation energy from the elements: -0.17 eV/f.u.

```
data_Mg2TlPb
_symmetry_space_group_name_H-M 'P 1'
_symmetry_Int_Tables_number 1
_cell_length_a 3.775
_cell_length_b 4.959
_cell_length_c 10.671
_cell_angle_alpha 90.00
_cell_angle_beta 90.00
_cell_angle_gamma 90.00
loop_
_symmetry_equiv_pos_as_xyz
'x,y,z'
loop_
_atom_site_label
_atom_site_fract_x
_atom_site_fract_y
_atom_site_fract_z
Mg1 0.000 0.000 0.000
Mg2 0.000 0.500 0.251
Mg3 0.500 0.000 0.751
Mg4 0.500 0.500 0.500
Tl1 0.000 0.500 0.742
Tl2 0.500 0.000 0.242
Pb1 0.000 0.000 0.502
Pb2 0.500 0.500 0.002
```

---

(6)
# Cr2ReSe

Cr2ReSe after structural relaxation (PBEsol, Alexandria).

## Properties
Its total energy is -9.075 eV per atom. The value obtained for the calculated volume is 52.4 Å³ per cell.

```
data_Cr2ReSe
_symmetry_space_group_name_H-M 'P 1'
_symmetry_Int_Tables_number 1
_cell_length_a 2.823
_cell_length_b 3.839
_cell_length_c 4.839
_cell_angle_alpha 90.00
_cell_angle_beta 90.00
_cell_angle_gamma 90.00
loop_
_symmetry_equiv_pos_as_xyz
'x,y,z'
loop_
_atom_site_label
_atom_site_fract_x
_atom_site_fract_y
_atom_site_fract_z
Cr1 0.000 0.000 0.248
Cr2 0.000 0.000 0.752
Re1 0.500 0.500 0.500
Se1 0.500 0.500 0.000
```